[1]
DFT (GGA-PBE) results for crystalline GaTc2NiCl at its relaxed geometry.

Cell and atoms, written as extended XYZ:
```
5
Lattice="4.2937 0.0000 0.0000 0.0000 4.2937 0.0000 0.0000 0.0000 4.8467" Properties=species:S:1:pos:R:3 pbc="T T T"
Ga 0.0000 0.0000 0.0000
Tc 0.0000 2.1469 2.4233
Tc 2.1469 0.0000 2.4233
Ni 2.1469 2.1469 0.0000
Cl 0.0000 0.0000 2.4233
```

Summary:
space-group type: P4/mmm, No. 123
magnetic moment: 0.38 μB/atom
formation energy from raw total energies: 31.80 kcal/mol of atoms

---

[2]
DFT (GGA-PBE) results for crystalline TlGa2NiCl8 at its relaxed geometry.

Cell and atoms, written as extended XYZ:
```
12
Lattice="6.4289 0.0000 0.0000 -3.2145 5.5676 0.0000 0.0000 0.0000 9.0776" Properties=species:S:1:pos:R:3 pbc="T T T"
Tl 0.0000 0.0000 0.0000
Ga 0.0000 3.7117 6.6992
Ga 3.2145 1.8559 2.3784
Ni 0.0000 0.0000 4.5388
Cl -0.8969 1.7815 6.0398
Cl -1.2232 5.4536 6.0398
Cl 1.0944 1.6675 3.0379
Cl 0.0000 3.7117 8.9094
Cl 3.2145 1.8559 0.1682
Cl 2.1201 3.9001 6.0398
Cl 4.4376 0.1140 3.0379
Cl 4.1114 3.7861 3.0379
```

Summary:
space-group type: P-3, No. 147
magnetic moment: 0.08 μB/atom
formation energy from raw total energies: -21.33 kcal/mol of atoms

---

[3]
DFT (GGA-PBE) results for crystalline VGaNi2Cl at its relaxed geometry.

Cell and atoms, written as extended XYZ:
```
5
Lattice="4.5199 0.0000 0.0000 0.0000 4.5199 0.0000 0.0000 0.0000 4.4220" Properties=species:S:1:pos:R:3 pbc="T T T"
V 0.0000 0.0000 0.0000
Ga 2.2599 2.2599 2.2110
Ni 0.0000 2.2599 0.0000
Ni 2.2599 0.0000 0.0000
Cl 0.0000 0.0000 2.2110
```

Summary:
space-group type: P4/mmm, No. 123
magnetic moment: 0.00 μB/atom
formation energy from raw total energies: 14.11 kcal/mol of atoms

---

[4]
DFT (GGA-PBE) results for crystalline YGaNiCl2 at its relaxed geometry.

Cell and atoms, written as extended XYZ:
```
5
Lattice="5.1128 0.0000 0.0000 0.0000 5.1128 0.0000 0.0000 0.0000 6.2566" Properties=species:S:1:pos:R:3 pbc="T T T"
Y 0.0000 0.0000 0.0000
Ga 0.0000 0.0000 3.1283
Ni 2.5564 2.5564 3.1283
Cl 0.0000 2.5564 0.0000
Cl 2.5564 0.0000 0.0000
```

Summary:
space-group type: P4/mmm, No. 123
magnetic moment: 0.23 μB/atom
formation energy from raw total energies: -4.65 kcal/mol of atoms